(1)
Computed, not measured: crystalline ErMg2Ga2Pt at its relaxed geometry at the PBE level of DFT.

Cell: 6.437 6.437 6.437 Å, 133.14 133.14 68.43°
Positions (direct):
Er 0.000 0.000 0.000
Mg 0.250 0.750 0.500
Mg 0.750 0.250 0.500
Ga 0.276 0.276 0.000
Ga 0.724 0.724 0.000
Pt 0.500 0.500 0.000

Summary:
- volume (Å³/cell) = 139.48
- space-group type = I4/mmm (139)
- M_tot (μB per formula unit) = 0.00
- formation energy (eV/atom) = -0.006
- total DFT energy (no corrections) (eV per atom) = -3.314

(2)
Computed, not measured: crystalline CdSeI at its relaxed geometry at the PBE level of DFT.

Cell: 4.286 4.286 5.591 Å, 90.00 90.00 120.00°
Positions (direct):
Cd 0.000 0.000 0.000
Se 0.333 0.667 0.792
I 0.667 0.333 0.349

Summary:
- energy relative to the elements, uncorrected (meV/atom) = -188
- offset from the most stable computed form (eV per atom) = 0.273
- volume (Å³/cell) = 88.94
- space-group type = P3m1 (156)
- M_tot (μB per formula unit) = 0.00
- total DFT energy (no corrections) (eV per atom) = -2.171

(3)
Computed, not measured: crystalline Mg3AuBr at its relaxed geometry at the PBE level of DFT.

Cell: 5.078 5.078 5.078 Å, 90.00 90.00 90.00°
Positions (direct):
Mg 0.000 0.000 0.500
Mg 0.000 0.500 0.000
Mg 0.500 0.000 0.000
Au 0.500 0.500 0.500
Br 0.000 0.000 0.000

Summary:
- energy relative to the elements, uncorrected (meV/atom) = 331
- offset from the most stable computed form (eV per atom) = 0.688
- volume (Å³/cell) = 130.98
- space-group type = Pm-3m (221)
- M_tot (μB per formula unit) = 0.00
- total DFT energy (no corrections) (eV per atom) = -1.616

(4)
Computed, not measured: crystalline PrPu2PaP4 at its relaxed geometry at the PBE level of DFT.

Cell: 6.967 4.048 7.023 Å, 90.00 109.72 90.00°
Positions (direct):
Pr 0.000 0.000 0.000
Pu 0.500 0.000 0.500
Pu 0.500 0.500 0.000
Pa 0.000 0.500 0.500
P 0.250 0.000 0.742
P 0.258 0.500 0.265
P 0.742 0.500 0.735
P 0.750 0.000 0.258

Summary:
- volume (Å³/cell) = 186.44
- space-group type = P2/m (10)
- M_tot (μB per formula unit) = 0.40
- formation energy (eV/atom) = -1.275
- total DFT energy (no corrections) (eV per atom) = -9.347

(5)
Computed, not measured: crystalline LiCaB2O4 at its relaxed geometry at the PBE level of DFT.

Cell: 5.083 5.083 5.083 Å, 121.18 104.14 103.76°
Positions (direct):
Li 0.000 0.000 0.000
Ca 0.500 0.000 0.500
B 0.157 0.500 0.657
B 0.843 0.500 0.343
O 0.124 0.619 0.942
O 0.324 0.381 0.505
O 0.676 0.182 0.058
O 0.876 0.818 0.495

Summary:
- energy relative to the elements, uncorrected (meV/atom) = -2179
- volume (Å³/cell) = 97.88
- space-group type = I222 (23)
- M_tot (μB per formula unit) = 1.00
- total DFT energy (no corrections) (eV per atom) = -6.817

(6)
Computed, not measured: crystalline TlIn2Br at its relaxed geometry at the PBE level of DFT.

Cell: 6.471 6.471 6.471 Å, 137.38 137.38 61.86°
Positions (direct):
Tl 0.000 0.000 0.000
In 0.500 0.500 0.000
In 0.750 0.250 0.500
Br 0.250 0.750 0.500

Summary:
- energy relative to the elements, uncorrected (meV/atom) = -184
- offset from the most stable computed form (eV per atom) = 0.070
- volume (Å³/cell) = 122.81
- space-group type = I-4m2 (119)
- M_tot (μB per formula unit) = 0.00
- total DFT energy (no corrections) (eV per atom) = -2.563

(7)
Computed, not measured: crystalline LiNiSe2 at its relaxed geometry at the PBE level of DFT.

Cell: 6.633 6.633 6.633 Å, 31.55 31.55 31.55°
Positions (direct):
Li 0.000 0.000 0.000
Ni 0.161 0.161 0.161
Se 0.563 0.563 0.563
Se 0.759 0.759 0.759

Summary:
- energy relative to the elements, uncorrected (meV/atom) = -527
- volume (Å³/cell) = 70.92
- space-group type = R3m (160)
- M_tot (μB per formula unit) = 0.00
- total DFT energy (no corrections) (eV per atom) = -4.193

(8)
Computed, not measured: crystalline DyTm3Zn8 at its relaxed geometry at the PBE level of DFT.

Cell: 5.489 5.489 8.644 Å, 90.00 90.00 120.00°
Positions (direct):
Dy 0.000 0.000 0.000
Tm 0.000 0.000 0.381
Tm 0.667 0.333 0.501
Tm 0.667 0.333 0.882
Zn 0.164 0.328 0.690
Zn 0.164 0.836 0.690
Zn 0.333 0.667 0.441
Zn 0.333 0.667 0.941
Zn 0.503 0.006 0.192
Zn 0.503 0.497 0.192
Zn 0.672 0.836 0.690
Zn 0.994 0.497 0.192

Summary:
- volume (Å³/cell) = 225.56
- space-group type = P3m1 (156)
- M_tot (μB per formula unit) = 0.00
- formation energy (eV/atom) = -0.325
- total DFT energy (no corrections) (eV per atom) = -2.675

(9)
Computed, not measured: crystalline Pr6C2Br3F at its relaxed geometry at the PBE level of DFT.

Cell: 6.672 6.672 7.808 Å, 98.20 98.20 120.07°
Positions (direct):
Pr 0.090 0.438 0.814
Pr 0.215 0.215 0.186
Pr 0.438 0.090 0.814
Pr 0.562 0.910 0.186
Pr 0.785 0.785 0.814
Pr 0.910 0.562 0.186
C 0.166 0.834 0.000
C 0.834 0.166 0.000
Br 0.000 0.000 0.500
Br 0.331 0.669 0.500
Br 0.669 0.331 0.500
F 0.500 0.500 0.000

Summary:
- energy relative to the elements, uncorrected (meV/atom) = -1164
- volume (Å³/cell) = 288.29
- space-group type = C2/m (12)
- M_tot (μB per formula unit) = 0.00
- total DFT energy (no corrections) (eV per atom) = -5.666

(10)
Computed, not measured: crystalline TbPm4Sc5 at its relaxed geometry at the PBE level of DFT.

Cell: 3.547 3.547 22.932 Å, 90.00 90.00 90.00°
Positions (direct):
Tb 0.000 0.000 0.000
Pm 0.000 0.000 0.199
Pm 0.000 0.000 0.400
Pm 0.000 0.000 0.600
Pm 0.000 0.000 0.801
Sc 0.500 0.500 0.098
Sc 0.500 0.500 0.299
Sc 0.500 0.500 0.500
Sc 0.500 0.500 0.701
Sc 0.500 0.500 0.902

Summary:
- volume (Å³/cell) = 288.59
- space-group type = P4/mmm (123)
- M_tot (μB per formula unit) = 0.00
- formation energy (eV/atom) = 0.052
- total DFT energy (no corrections) (eV per atom) = -5.477

(11)
Computed, not measured: crystalline Cu5H3Br12 at its relaxed geometry at the PBE level of DFT.

Cell: 13.551 13.551 13.551 Å, 109.47 109.47 109.47°
Positions (direct):
Cu 0.000 0.000 0.000
Cu 0.000 0.000 0.500
Cu 0.000 0.500 0.000
Cu 0.000 0.500 0.500
Cu 0.125 0.750 0.875
Cu 0.125 0.875 0.250
Cu 0.250 0.125 0.875
Cu 0.250 0.625 0.375
Cu 0.375 0.250 0.625
Cu 0.375 0.625 0.750
Cu 0.500 0.000 0.000
Cu 0.500 0.000 0.500
Cu 0.500 0.500 0.000
Cu 0.500 0.500 0.500
Cu 0.625 0.375 0.250
Cu 0.625 0.750 0.375
Cu 0.750 0.375 0.625
Cu 0.750 0.875 0.125
Cu 0.875 0.125 0.750
Cu 0.875 0.250 0.125
H 0.125 0.250 0.375
H 0.125 0.375 0.750
H 0.250 0.375 0.125
H 0.250 0.875 0.625
H 0.375 0.125 0.250
H 0.375 0.750 0.125
H 0.625 0.250 0.875
H 0.625 0.875 0.750
H 0.750 0.125 0.375
H 0.750 0.625 0.875
H 0.875 0.625 0.250
H 0.875 0.750 0.625
Br 0.000 0.146 0.168
Br 0.000 0.353 0.832
Br 0.000 0.647 0.168
Br 0.000 0.854 0.832
Br 0.021 0.168 0.668
Br 0.021 0.354 0.353
Br 0.146 0.168 0.000
Br 0.146 0.479 0.147
Br 0.147 0.146 0.479
Br 0.147 0.500 0.668
Br 0.168 0.000 0.146
Br 0.168 0.000 0.647
Br 0.168 0.668 0.021
Br 0.168 0.668 0.521
Br 0.332 0.354 0.500
Br 0.332 0.479 0.832
Br 0.332 0.853 0.500
Br 0.332 0.979 0.832
Br 0.353 0.021 0.354
Br 0.353 0.832 0.000
Br 0.354 0.353 0.021
Br 0.354 0.500 0.332
Br 0.479 0.147 0.146
Br 0.479 0.832 0.332
Br 0.500 0.332 0.354
Br 0.500 0.332 0.853
Br 0.500 0.668 0.147
Br 0.500 0.668 0.646
Br 0.521 0.168 0.668
Br 0.521 0.853 0.854
Br 0.646 0.500 0.668
Br 0.646 0.647 0.979
Br 0.647 0.168 0.000
Br 0.647 0.979 0.646
Br 0.668 0.021 0.168
Br 0.668 0.147 0.500
Br 0.668 0.521 0.168
Br 0.668 0.646 0.500
Br 0.832 0.000 0.353
Br 0.832 0.000 0.854
Br 0.832 0.332 0.479
Br 0.832 0.332 0.979
Br 0.853 0.500 0.332
Br 0.853 0.854 0.521
Br 0.854 0.521 0.853
Br 0.854 0.832 0.000
Br 0.979 0.646 0.647
Br 0.979 0.832 0.332

Summary:
- volume (Å³/cell) = 1915.43
- space-group type = Ia-3d (230)
- M_tot (μB per formula unit) = 0.00
- total DFT energy (no corrections) (eV per atom) = -2.416

(12)
Computed, not measured: crystalline Hg2BBr at its relaxed geometry at the PBE level of DFT.

Cell: 6.920 6.920 6.920 Å, 125.42 125.42 80.84°
Positions (direct):
Hg 0.014 0.625 0.889
Hg 0.375 0.264 0.389
Hg 0.736 0.125 0.111
Hg 0.875 0.986 0.611
B 0.000 0.000 0.000
B 0.750 0.250 0.500
Br 0.250 0.750 0.500
Br 0.500 0.500 0.000

Summary:
- energy relative to the elements, uncorrected (meV/atom) = 432
- offset from the most stable computed form (eV per atom) = 0.000
- volume (Å³/cell) = 212.15
- space-group type = I-42d (122)
- M_tot (μB per formula unit) = 0.00
- total DFT energy (no corrections) (eV per atom) = -1.806